Entry 1:
Entry from the Alexandria database: a PBEsol-optimized structure of KIrRh2 (meta-GGA SCAN).

Unit cell a=2.660 b=4.201 c=6.922 alpha=90.00 beta=100.98 gamma=90.00
Positions (direct):
K1 0.000 0.000 0.000
Ir1 0.324 0.500 0.645
Rh1 0.660 0.500 0.314
Rh2 0.766 0.000 0.528

Output
magnetization: 0.65 Bohr magnetons per cell
offset from the most stable computed form: 0.000 eV per atom

Entry 2:
Entry from the Alexandria database: a PBEsol-optimized structure of KIrRu2 (meta-GGA SCAN).

Unit cell a=3.076 b=3.076 c=8.047 alpha=90.00 beta=90.00 gamma=90.00
Positions (direct):
K1 0.000 0.000 0.000
Ir1 0.000 0.000 0.500
Ru1 0.500 0.500 0.331
Ru2 0.500 0.500 0.669

Output
magnetization: 1.87 Bohr magnetons per cell
offset from the most stable computed form: 0.101 eV per atom